1) The following is a PBE-GGA calculation of crystalline CeDy2Cd at its relaxed geometry, from Alexandria via LeMat-Bulk.

Density of states at the Fermi level   8.2 states/eV/f.u.

abc: 5.3821 5.3821 5.3821
angles: 60.00 60.00 60.00
Fractional coordinates of all 4 atoms:
Ce 0.0000 0.0000 0.0000
Dy 0.2500 0.2500 0.2500
Dy 0.7500 0.7500 0.7500
Cd 0.5000 0.5000 0.5000

***

2) The following is a PBE-GGA calculation of crystalline CeDy2Cd at its relaxed geometry, from Alexandria via LeMat-Bulk.

Density of states at the Fermi level   6.6 states/eV/f.u.

abc: 12.0742 12.0742 12.0742
angles: 16.33 16.33 16.33
Fractional coordinates of all 4 atoms:
Ce 0.0000 0.0000 0.0000
Dy 0.4107 0.4107 0.4107
Dy 0.5893 0.5893 0.5893
Cd 0.5000 0.5000 0.5000

***

Among the structures above, stability is greatest for 1).